Entry 1:
Here is a relaxed structure of Cs2BCl6 from Alexandria. Energies are from GGA-PBE.

Output
Uncorrected energy: -56.009 eV per cell
Formation energy from raw total energies: -0.949 eV/atom
Space group: I4/mmm

Cell: 7.3796 7.3838 10.3883 Å, 90.00 90.05 90.00°
With the nearest neighbours (Å) after each atom.
Positions (direct):
Cl 0.2950 0.7048 0.9997  1 B 2.14
Cl 0.9996 0.0006 0.2952  1 B 2.13
Cl 0.4996 0.4994 0.7952  1 B 2.13
Cl 0.7950 0.7952 0.4997  1 B 2.14
Cl 0.5004 0.5006 0.2048  1 B 2.13
Cs 0.5003 0.9995 0.7501  12 Cl 3.71-3.72
Cl 0.2047 0.7954 0.4997  1 B 2.14
B 0.5000 0.5000 0.0000  6 Cl 2.13-2.14
Cs 0.9997 0.4995 0.7499  12 Cl 3.71-3.72
Cl 0.0004 0.9994 0.7048  1 B 2.13
Cl 0.7050 0.2952 0.0003  1 B 2.14
Cl 0.7047 0.7046 0.9997  1 B 2.14
Cl 0.7953 0.2046 0.5003  1 B 2.14
Cl 0.2953 0.2954 0.0003  1 B 2.14
Cs 0.0003 0.5005 0.2501  12 Cl 3.71-3.72
Cs 0.4997 0.0005 0.2499  12 Cl 3.71-3.72
B 0.0000 0.0000 0.5000  6 Cl 2.13-2.14
Cl 0.2050 0.2048 0.5003  1 B 2.14


Entry 2:
Here is a relaxed structure of Sm2PuSc3Se6 from Alexandria. Energies are from GGA-PBE.

Output
Uncorrected energy: -83.627 eV per cell
Formation energy from raw total energies: -1.663 eV/atom
Space group: C2/m

Cell: 3.9829 8.1000 9.0124 Å, 103.87 102.77 90.00°
With the nearest neighbours (Å) after each atom.
Positions (direct):
Se 0.3381 0.4019 0.6762  3 Sc 2.76-2.77, 3 Sm 2.94-2.95
Se 0.6714 0.0715 0.3428  3 Sc 2.74-2.76, 2 Sm 2.92, 1 Pu 2.93
Se 0.0056 0.7393 0.0112  3 Sc 2.74-2.76, 1 Sm 2.92, 2 Pu 2.92
Se 0.3286 0.9285 0.6572  3 Sc 2.74-2.76, 2 Sm 2.92, 1 Pu 2.93
Sc 0.5000 0.5000 0.0000  6 Se 2.76
Sc 0.8334 0.1627 0.6668  6 Se 2.74-2.77
Se 0.6619 0.5981 0.3238  3 Sc 2.76-2.77, 3 Sm 2.94-2.95
Sm 0.1655 0.3324 0.3309  6 Se 2.92-2.95
Sc 0.1666 0.8373 0.3332  6 Se 2.74-2.77
Pu 0.5000 0.0000 0.0000  6 Se 2.92-2.93
Se 0.9944 0.2607 0.9888  3 Sc 2.74-2.76, 1 Sm 2.92, 2 Pu 2.92
Sm 0.8345 0.6676 0.6691  6 Se 2.92-2.95


Entry 3:
Here is a relaxed structure of SrAgBF6 from Alexandria. Energies are from GGA-PBE.

Output
Uncorrected energy: -44.371 eV per cell
Formation energy from raw total energies: -2.437 eV/atom
Space group: P312

Cell: 5.5063 5.5068 4.7396 Å, 90.01 90.00 59.99°
With the nearest neighbours (Å) after each atom.
Positions (direct):
F 0.5832 0.3199 0.7029  1 B 1.65
F 0.3199 0.5833 0.2971  1 B 1.65
F 0.3199 0.0967 0.7029  1 B 1.65
F 0.0967 0.3200 0.2970  1 B 1.65
B 0.3335 0.3333 0.5000  6 F 1.65
F 0.0967 0.5833 0.7029  1 B 1.65
Sr 0.0000 0.0000 0.0000  6 F 2.51
F 0.5832 0.0969 0.2971  1 B 1.65
Ag 0.6667 0.6666 0.5000  6 F 2.38


Entry 4:
Here is a relaxed structure of Pu2BrNCl from Alexandria. Energies are from GGA-PBE.

Output
Uncorrected energy: -92.965 eV per cell
Formation energy from raw total energies: -1.195 eV/atom
Space group: C2/m

Cell: 3.3983 9.3085 7.6933 Å, 95.93 77.24 79.48°
With the nearest neighbours (Å) after each atom.
Positions (direct):
Pu 0.3168 0.9826 0.3839  2 N 2.26, 2 Pu 2.42
Br 0.1668 0.3015 0.3650  3 Pu 2.94-2.95
Cl 0.5730 0.6784 0.1756  3 Pu 2.79-2.98
Pu 0.8780 0.1928 0.0511  2 N 2.23-2.27
Cl 0.4270 0.3216 0.8244  3 Pu 2.79-2.98
Pu 0.6832 0.0174 0.6161  2 N 2.26, 2 Pu 2.42
N 0.9139 0.9867 0.1854  4 Pu 2.23-2.27
N 0.0861 0.0133 0.8146  4 Pu 2.23-2.27
Br 0.8332 0.6985 0.6350  3 Pu 2.94-2.95
Pu 0.1220 0.8072 0.9489  2 N 2.23-2.27


Entry 5:
Here is a relaxed structure of AsRhI3 from Alexandria. Energies are from GGA-PBE.

Output
Uncorrected energy: -12.460 eV per cell
Formation energy from raw total energies: 0.838 eV/atom
Space group: Pm-3m

Cell: 5.6752 5.6752 5.6752 Å, 90.00 90.00 90.00°
With the nearest neighbours (Å) after each atom.
Positions (direct):
I 0.5000 0.0000 0.0000  2 As 2.84
I 0.0000 0.5000 0.0000  2 As 2.84
As 0.0000 0.0000 0.0000  6 I 2.84
I 0.0000 0.0000 0.5000  2 As 2.84
Rh 0.5000 0.5000 0.5000  12 I 4.01


Entry 6:
Here is a relaxed structure of Sm6Ho16Er7 from Alexandria. Energies are from GGA-PBE.

Output
Uncorrected energy: -126.549 eV per cell
Space group: Fm-3m
Energy of formation from the pure elements: 0.240 eV per atom

Cell: 11.0847 11.0847 11.0847 Å, 60.00 60.00 60.00°
With the nearest neighbours (Å) after each atom.
Positions (direct):
Ho 0.8776 0.8776 0.3671  4 Er 3.32-3.42, 3 Ho 3.58, 3 Sm 3.70
Er 0.5000 0.0000 0.0000  8 Ho 3.22-3.42
Ho 0.3671 0.8776 0.8776  4 Er 3.32-3.42, 3 Ho 3.58, 3 Sm 3.70
Sm 0.7169 0.7169 0.2831  8 Ho 3.55-3.70, 4 Er 3.95
Er 0.0000 0.0000 0.5000  8 Ho 3.22-3.42
Sm 0.2831 0.7169 0.2831  8 Ho 3.55-3.70, 4 Er 3.95
Ho 0.6537 0.6537 0.0390  3 Er 3.22, 3 Sm 3.55, 3 Ho 3.58
Er 0.0000 0.5000 0.5000  8 Ho 3.22-3.42
Ho 0.8776 0.8776 0.8776  4 Er 3.32-3.42, 3 Ho 3.58, 3 Sm 3.70
Ho 0.6537 0.6537 0.6537  3 Er 3.22, 3 Sm 3.55, 3 Ho 3.58
Er 0.5000 0.5000 0.0000  8 Ho 3.22-3.42
Ho 0.1224 0.1224 0.6329  4 Er 3.32-3.42, 3 Ho 3.58, 3 Sm 3.70
Sm 0.7169 0.2831 0.2831  8 Ho 3.55-3.70, 4 Er 3.95
Ho 0.8776 0.3671 0.8776  4 Er 3.32-3.42, 3 Ho 3.58, 3 Sm 3.70
Sm 0.2831 0.7169 0.7169  8 Ho 3.55-3.70, 4 Er 3.95
Ho 0.9610 0.3463 0.3463  3 Er 3.22, 3 Sm 3.55, 3 Ho 3.58
Ho 0.0390 0.6537 0.6537  3 Er 3.22, 3 Sm 3.55, 3 Ho 3.58
Ho 0.3463 0.3463 0.3463  3 Er 3.22, 3 Sm 3.55, 3 Ho 3.58
Er 0.0000 0.0000 0.0000  8 Ho 3.32
Ho 0.1224 0.6329 0.1224  4 Er 3.32-3.42, 3 Ho 3.58, 3 Sm 3.70
Er 0.5000 0.0000 0.5000  8 Ho 3.22-3.42
Ho 0.6329 0.1224 0.1224  4 Er 3.32-3.42, 3 Ho 3.58, 3 Sm 3.70
Ho 0.3463 0.3463 0.9610  3 Er 3.22, 3 Sm 3.55, 3 Ho 3.58
Ho 0.3463 0.9610 0.3463  3 Er 3.22, 3 Sm 3.55, 3 Ho 3.58
Ho 0.6537 0.0390 0.6537  3 Er 3.22, 3 Sm 3.55, 3 Ho 3.58
Ho 0.1224 0.1224 0.1224  4 Er 3.32-3.42, 3 Ho 3.58, 3 Sm 3.70
Er 0.0000 0.5000 0.0000  8 Ho 3.22-3.42
Sm 0.7169 0.2831 0.7169  8 Ho 3.55-3.70, 4 Er 3.95
Sm 0.2831 0.2831 0.7169  8 Ho 3.55-3.70, 4 Er 3.95


Entry 7:
Here is a relaxed structure of LaCePrSm2 from Alexandria. Energies are from GGA-PBE.

Output
Uncorrected energy: -47.608 eV per cell
Space group: P2/c
Energy of formation from the pure elements: 0.255 eV per atom

Cell: 6.4798 8.5503 6.2929 Å, 96.44 90.00 90.00°
With the nearest neighbours (Å) after each atom.
Positions (direct):
Sm 0.6773 0.3070 0.7143  1 Ce 3.03, 1 Sm 3.28
Pr 0.1655 0.5000 0.7500  8 Sm 3.56-3.73, 2 Pr 3.81
La 0.0000 0.0000 0.0000  2 La 3.15, 2 Ce 3.33, 2 Sm 3.51
Pr 0.8345 0.5000 0.2500  8 Sm 3.56-3.73, 2 Pr 3.81
Sm 0.6773 0.6930 0.7857  1 Ce 3.03, 1 Sm 3.28
Ce 0.5467 0.0000 0.2500  2 Sm 3.03, 2 Ce 3.20, 2 La 3.33
Sm 0.3227 0.6930 0.2857  1 Ce 3.03, 1 Sm 3.28
Sm 0.3227 0.3070 0.2143  1 Ce 3.03, 1 Sm 3.28
La 0.0000 0.0000 0.5000  2 La 3.15, 2 Ce 3.33, 2 Sm 3.51
Ce 0.4533 0.0000 0.7500  2 Sm 3.03, 2 Ce 3.20, 2 La 3.33


Entry 8:
Here is a relaxed structure of CaSiPb from Alexandria. Energies are from GGA-PBE.

Output
Uncorrected energy: -11.286 eV per cell
Formation energy from raw total energies: -0.051 eV/atom
Space group: Fmm2

Cell: 6.3671 6.2261 3.7058 Å, 74.98 70.81 34.20°
With the nearest neighbours (Å) after each atom.
Positions (direct):
Pb 0.3084 0.3084 0.6916  4 Si 2.87-3.16
Ca 0.0142 0.0142 0.9858  4 Si 3.08-3.35, 3 Pb 3.37-3.40
Si 0.6774 0.6774 0.3226  4 Pb 2.87-3.16, 2 Ca 3.08


Entry 9:
Here is a relaxed structure of SrRu2O8 from Alexandria. Energies are from GGA-PBE.

Output
Uncorrected energy: -145.163 eV per cell
Formation energy from raw total energies: -1.153 eV/atom
Space group: C2/c

Cell: 5.7160 6.9532 11.0809 Å, 99.58 75.05 65.73°
With the nearest neighbours (Å) after each atom.
Positions (direct):
Ru 0.9260 0.7489 0.9336  4 O 1.75
Ru 0.3914 0.2489 0.4336  4 O 1.75
O 0.2560 0.2902 0.6023  1 Ru 1.75
Ru 0.0740 0.2511 0.0664  4 O 1.75
O 0.1484 0.2098 0.8977  1 Ru 1.75
O 0.2486 0.8866 0.6173  1 Ru 1.75
O 0.7514 0.1134 0.3827  1 Ru 1.75
O 0.7526 0.6134 0.8827  1 Ru 1.75
Sr 0.1904 0.7500 0.2500  8 O 2.55-2.80
O 0.2899 0.0779 0.3516  1 Ru 1.75
O 0.2806 0.5779 0.8516  1 Ru 1.75
Ru 0.6086 0.7511 0.5664  4 O 1.75
O 0.8516 0.7902 0.1023  1 Ru 1.75
O 0.2474 0.3866 0.1173  1 Ru 1.75
O 0.7101 0.9221 0.6484  1 Ru 1.75
Sr 0.8096 0.2500 0.7500  8 O 2.55-2.80
O 0.7196 0.4941 0.5961  1 Ru 1.75
O 0.8097 0.0059 0.9039  1 Ru 1.75
O 0.7194 0.4221 0.1484  1 Ru 1.75
O 0.2804 0.5059 0.4039  1 Ru 1.75
O 0.7440 0.7098 0.3977  1 Ru 1.75
O 0.1903 0.9941 0.0961  1 Ru 1.75


Entry 10:
Here is a relaxed structure of AgRu2SeI from Alexandria. Energies are from GGA-PBE.

Output
Uncorrected energy: -18.582 eV per cell
Formation energy from raw total energies: 1.571 eV/atom
Space group: P4/mmm

Cell: 4.9357 5.2373 4.9357 Å, 90.00 90.00 90.00°
With the nearest neighbours (Å) after each atom.
Positions (direct):
Ru 0.0000 0.0000 0.5000  2 I 2.47
I 0.0000 0.0000 0.0000  4 Ru 2.47, 2 Ag 2.62
Ru 0.5000 0.0000 0.0000  2 I 2.47
Se 0.5000 0.5000 0.5000  4 Ag 3.49, 8 Ru 3.60
Ag 0.0000 0.5000 0.0000  2 I 2.62


Entry 11:
Here is a relaxed structure of AlSiTe2 from Alexandria. Energies are from GGA-PBE.

Output
Uncorrected energy: -29.297 eV per cell
Formation energy from raw total energies: 0.200 eV/atom
Space group: I-42d

Cell: 7.2916 7.2916 6.7096 Å, 57.09 57.09 90.00°
With the nearest neighbours (Å) after each atom.
Positions (direct):
Al 0.2500 0.7500 0.5000  4 Te 2.75
Al 0.5000 0.5000 0.0000  4 Te 2.75
Te 0.3750 0.3836 0.7500  2 Al 2.75, 2 Si 2.83
Te 0.6164 0.1250 0.2500  2 Al 2.75, 2 Si 2.83
Si 0.0000 0.0000 0.0000  4 Te 2.83
Te 0.8750 0.8664 0.7500  2 Al 2.75, 2 Si 2.83
Te 0.1336 0.6250 0.2500  2 Al 2.75, 2 Si 2.83
Si 0.7500 0.2500 0.5000  4 Te 2.83


uncorrected energy of number 11 (AlSiTe2)? -29.297 eV per cell